Record 1
DFT (PBE) results for a relaxed structure of Pa4PSe5.

Values from the calculation:
spin magnetization: 1.0 μB/cell
uncorrected energy: -74.2 eV per cell

a b c (Å): 8.984 8.984 8.022
angles (deg): 103.01 103.01 25.79
Positions (direct):
Pa1 0.002 0.002 0.264
Pa2 0.339 0.339 0.414
Pa3 0.661 0.661 0.586
Pa4 0.998 0.998 0.736
P1 0.500 0.500 0.500
Se1 0.165 0.165 0.836
Se2 0.170 0.170 0.328
Se3 0.500 0.500 0.000
Se4 0.830 0.830 0.672
Se5 0.835 0.835 0.164

Record 2
DFT (PBE) results for a relaxed structure of Pa3PSe2.

Values from the calculation:
spin magnetization: 0.2 μB/cell
uncorrected energy: -96.9 eV per cell

a b c (Å): 7.044 7.044 6.711
angles (deg): 99.88 99.88 117.87
Positions (direct):
Pa1 0.000 0.500 0.000
Pa2 0.152 0.309 0.495
Pa3 0.309 0.152 0.995
Pa4 0.500 0.000 0.500
Pa5 0.691 0.848 0.005
Pa6 0.848 0.691 0.505
P1 0.089 0.911 0.250
P2 0.911 0.089 0.750
Se1 0.257 0.743 0.750
Se2 0.418 0.582 0.250
Se3 0.582 0.418 0.750
Se4 0.743 0.257 0.250

Record 3
DFT (PBE) results for a relaxed structure of Sm3PaP4.

Values from the calculation:
spin magnetization: 0.0 μB/cell
uncorrected energy: -57.5 eV per cell

a b c (Å): 7.030 7.030 4.065
angles (deg): 90.00 90.00 109.42
Positions (direct):
Sm1 0.000 0.000 0.000
Sm2 0.000 0.500 0.500
Sm3 0.500 0.000 0.500
Pa1 0.500 0.500 0.000
P1 0.256 0.744 0.000
P2 0.259 0.259 0.500
P3 0.741 0.741 0.500
P4 0.744 0.256 0.000

Record 4
DFT (PBE) results for a relaxed structure of SrPaP2.

Values from the calculation:
spin magnetization: 0.2 μB/cell
uncorrected energy: -26.9 eV per cell

a b c (Å): 7.294 7.294 7.294
angles (deg): 32.82 32.82 32.82
Positions (direct):
Sr1 0.000 0.000 0.000
Pa1 0.500 0.500 0.500
P1 0.238 0.238 0.238
P2 0.762 0.762 0.762

Record 5
DFT (PBE) results for a relaxed structure of PaTc2P2.

Values from the calculation:
spin magnetization: 0.1 μB/cell
uncorrected energy: -90.5 eV per cell

a b c (Å): 4.259 4.211 9.096
angles (deg): 90.00 92.72 90.00
Positions (direct):
Pa1 0.237 0.250 0.262
Pa2 0.763 0.750 0.738
Tc1 0.247 0.750 0.499
Tc2 0.336 0.250 0.904
Tc3 0.664 0.750 0.096
Tc4 0.753 0.250 0.501
P1 0.168 0.750 0.989
P2 0.265 0.250 0.638
P3 0.735 0.750 0.362
P4 0.832 0.250 0.011

Record 6
DFT (PBE) results for a relaxed structure of PaTc4P2.

Values from the calculation:
spin magnetization: 0.0 μB/cell
uncorrected energy: -66.4 eV per cell

a b c (Å): 6.983 6.983 4.026
angles (deg): 90.00 90.00 146.18
Positions (direct):
Pa1 0.000 0.000 0.000
Tc1 0.182 0.818 0.500
Tc2 0.311 0.689 0.000
Tc3 0.689 0.311 0.000
Tc4 0.818 0.182 0.500
P1 0.415 0.585 0.500
P2 0.585 0.415 0.500

Record 7
DFT (PBE) results for a relaxed structure of Pa3TeP2.

Values from the calculation:
spin magnetization: 0.0 μB/cell
uncorrected energy: -45.7 eV per cell

a b c (Å): 6.654 6.654 3.967
angles (deg): 90.00 90.00 120.00
Positions (direct):
Pa1 0.000 0.500 0.000
Pa2 0.500 0.000 0.000
Pa3 0.500 0.500 0.000
Te1 0.000 0.000 0.500
P1 0.333 0.667 0.500
P2 0.667 0.333 0.500

Record 8
DFT (PBE) results for a relaxed structure of Pa2Tl3P3.

Values from the calculation:
spin magnetization: 0.3 μB/cell
uncorrected energy: -40.4 eV per cell

a b c (Å): 8.265 8.265 8.265
angles (deg): 39.37 39.37 39.37
Positions (direct):
Pa1 0.206 0.206 0.206
Pa2 0.794 0.794 0.794
Tl1 0.000 0.500 0.500
Tl2 0.500 0.000 0.500
Tl3 0.500 0.500 0.000
P1 0.094 0.094 0.094
P2 0.500 0.500 0.500
P3 0.906 0.906 0.906

Record 9
DFT (PBE) results for a relaxed structure of Y3PaP4.

Values from the calculation:
spin magnetization: 0.0 μB/cell
uncorrected energy: -63.0 eV per cell

a b c (Å): 6.908 6.908 3.999
angles (deg): 90.00 90.00 109.46
Positions (direct):
Y1 0.000 0.000 0.000
Y2 0.000 0.500 0.500
Y3 0.500 0.000 0.500
Pa1 0.500 0.500 0.000
P1 0.254 0.254 0.500
P2 0.254 0.746 0.000
P3 0.746 0.254 0.000
P4 0.746 0.746 0.500

Record 10
DFT (PBE) results for a relaxed structure of Tm3PPb.

Values from the calculation:
spin magnetization: 0.0 μB/cell
uncorrected energy: -50.5 eV per cell

a b c (Å): 6.724 6.724 7.299
angles (deg): 90.00 90.00 120.00
Positions (direct):
Tm1 0.000 0.500 0.239
Tm2 0.000 0.500 0.761
Tm3 0.500 0.000 0.239
Tm4 0.500 0.000 0.761
Tm5 0.500 0.500 0.239
Tm6 0.500 0.500 0.761
P1 0.333 0.667 0.500
P2 0.667 0.333 0.500
Pb1 0.000 0.000 0.223
Pb2 0.000 0.000 0.777

Record 11
DFT (PBE) results for a relaxed structure of Tm2PPb.

Values from the calculation:
spin magnetization: 0.0 μB/cell
uncorrected energy: -22.2 eV per cell

a b c (Å): 3.878 3.878 8.135
angles (deg): 103.72 103.72 59.93
Positions (direct):
Tm1 0.232 0.232 0.197
Tm2 0.768 0.768 0.803
P1 0.500 0.500 0.000
Pb1 0.000 0.000 0.500

Record 12
DFT (PBE) results for a relaxed structure of P2Pb5W.

Values from the calculation:
spin magnetization: 2.1 μB/cell
uncorrected energy: -37.4 eV per cell

a b c (Å): 5.004 5.004 9.370
angles (deg): 90.00 90.00 90.00
Positions (direct):
P1 0.000 0.000 0.112
P2 0.000 0.000 0.888
Pb1 0.000 0.000 0.500
Pb2 0.000 0.500 0.277
Pb3 0.000 0.500 0.723
Pb4 0.500 0.000 0.277
Pb5 0.500 0.000 0.723
W1 0.500 0.500 0.500

Record 13
DFT (PBE) results for a relaxed structure of ZnP14Pb.

Values from the calculation:
distance to the lowest polymorph of the same formula: 0.000 eV per atom
uncorrected energy: -326.6 eV per cell

a b c (Å): 12.901 9.862 10.667
angles (deg): 90.00 90.00 90.00
Positions (direct):
Zn1 0.176 0.250 0.001
Zn2 0.324 0.750 0.501
Zn3 0.676 0.250 0.499
Zn4 0.824 0.750 0.999
P1 0.028 0.578 0.149
P2 0.028 0.922 0.149
P3 0.030 0.250 0.154
P4 0.056 0.750 0.279
P5 0.064 0.084 0.287
P6 0.064 0.416 0.287
P7 0.079 0.579 0.584
P8 0.079 0.921 0.584
P9 0.087 0.250 0.600
P10 0.140 0.053 0.871
P11 0.140 0.447 0.871
P12 0.178 0.750 0.646
P13 0.181 0.078 0.672
P14 0.181 0.422 0.672
P15 0.319 0.578 0.172
P16 0.319 0.922 0.172
P17 0.322 0.250 0.146
P18 0.360 0.553 0.371
P19 0.360 0.947 0.371
P20 0.413 0.750 0.100
P21 0.421 0.079 0.084
P22 0.421 0.421 0.084
P23 0.436 0.584 0.787
P24 0.436 0.916 0.787
P25 0.444 0.250 0.779
P26 0.470 0.750 0.654
P27 0.472 0.078 0.649
P28 0.472 0.422 0.649
P29 0.528 0.578 0.351
P30 0.528 0.922 0.351
P31 0.530 0.250 0.346
P32 0.556 0.750 0.221
P33 0.564 0.084 0.213
P34 0.564 0.416 0.213
P35 0.579 0.579 0.916
P36 0.579 0.921 0.916
P37 0.587 0.250 0.900
P38 0.640 0.053 0.629
P39 0.640 0.447 0.629
P40 0.678 0.750 0.854
P41 0.681 0.078 0.828
P42 0.681 0.422 0.828
P43 0.819 0.578 0.328
P44 0.819 0.922 0.328
P45 0.822 0.250 0.354
P46 0.860 0.553 0.129
P47 0.860 0.947 0.129
P48 0.913 0.750 0.400
P49 0.921 0.079 0.416
P50 0.921 0.421 0.416
P51 0.936 0.584 0.713
P52 0.936 0.916 0.713
P53 0.944 0.250 0.721
P54 0.970 0.750 0.846
P55 0.972 0.078 0.851
P56 0.972 0.422 0.851
Pb1 0.181 0.750 0.911
Pb2 0.319 0.250 0.411
Pb3 0.681 0.750 0.589
Pb4 0.819 0.250 0.089

Record 14
DFT (PBE) results for a relaxed structure of Zn2P4Pb.

Values from the calculation:
uncorrected energy: -25.9 eV per cell

a b c (Å): 5.774 5.774 5.774
angles (deg): 102.53 102.53 124.48
Positions (direct):
Zn1 0.250 0.750 0.500
Zn2 0.750 0.250 0.500
P1 0.154 0.154 0.309
P2 0.154 0.846 0.000
P3 0.846 0.154 0.000
P4 0.846 0.846 0.691
Pb1 0.500 0.500 0.000

Record 15
DFT (PBE) results for a relaxed structure of Zr5PPb3.

Values from the calculation:
spin magnetization: 0.0 μB/cell
uncorrected energy: -129.1 eV per cell

a b c (Å): 8.730 8.730 6.058
angles (deg): 90.00 90.00 120.00
Positions (direct):
Zr1 0.000 0.246 0.250
Zr2 0.000 0.754 0.750
Zr3 0.246 0.000 0.250
Zr4 0.246 0.246 0.750
Zr5 0.333 0.667 0.000
Zr6 0.333 0.667 0.500
Zr7 0.667 0.333 0.000
Zr8 0.667 0.333 0.500
Zr9 0.754 0.000 0.750
Zr10 0.754 0.754 0.250
P1 0.000 0.000 0.000
P2 0.000 0.000 0.500
Pb1 0.000 0.400 0.750
Pb2 0.000 0.600 0.250
Pb3 0.400 0.000 0.750
Pb4 0.400 0.400 0.250
Pb5 0.600 0.000 0.250
Pb6 0.600 0.600 0.750

Record 16
DFT (PBE) results for a relaxed structure of Zr3PPb.

Values from the calculation:
spin magnetization: 0.0 μB/cell
uncorrected energy: -76.7 eV per cell

a b c (Å): 6.127 6.127 9.796
angles (deg): 90.00 90.00 143.16
Positions (direct):
Zr1 0.048 0.952 0.750
Zr2 0.362 0.638 0.555
Zr3 0.362 0.638 0.945
Zr4 0.638 0.362 0.055
Zr5 0.638 0.362 0.445
Zr6 0.952 0.048 0.250
P1 0.000 0.000 0.000
P2 0.000 0.000 0.500
Pb1 0.255 0.745 0.250
Pb2 0.745 0.255 0.750

Record 17
DFT (PBE) results for a relaxed structure of P2Pd.

Values from the calculation:
uncorrected energy: -29.0 eV per cell

a b c (Å): 5.038 5.038 5.038
angles (deg): 60.00 60.00 60.00
Positions (direct):
P1 0.000 0.000 0.000
P2 0.000 0.000 0.500
P3 0.000 0.500 0.000
P4 0.500 0.000 0.000
Pd1 0.375 0.375 0.375
Pd2 0.625 0.625 0.625

Record 18
DFT (PBE) results for a relaxed structure of PPd.

Values from the calculation:
uncorrected energy: -10.8 eV per cell

a b c (Å): 3.807 3.807 3.807
angles (deg): 60.00 60.00 60.00
Positions (direct):
P1 0.000 0.000 0.000
Pd1 0.750 0.750 0.750

Record 19
DFT (PBE) results for a relaxed structure of PPd2.

Values from the calculation:
uncorrected energy: -27.4 eV per cell

a b c (Å): 7.257 7.257 7.257
angles (deg): 60.00 60.00 60.00
Positions (direct):
P1 0.125 0.125 0.125
P2 0.875 0.875 0.875
Pd1 0.000 0.000 0.000
Pd2 0.000 0.000 0.500
Pd3 0.000 0.500 0.000
Pd4 0.500 0.000 0.000

Record 20
DFT (PBE) results for a relaxed structure of PPd2.

Values from the calculation:
uncorrected energy: -28.3 eV per cell

a b c (Å): 5.213 5.213 5.213
angles (deg): 60.00 60.00 60.00
Positions (direct):
P1 0.125 0.125 0.125
P2 0.875 0.875 0.875
Pd1 0.000 0.500 0.500
Pd2 0.500 0.000 0.500
Pd3 0.500 0.500 0.000
Pd4 0.500 0.500 0.500